This record from Alexandria via LeMat-Bulk describes a relaxed structure of NaFe2TeO6. The functional is PBE+U.

DFT total energy   -5.764 eV per atom
V   11.6 Å³/atom

```
data_NaFe2TeO6
_symmetry_space_group_name_H-M 'P 1'
_symmetry_Int_Tables_number 1
_cell_length_a 5.1923
_cell_length_b 5.1996
_cell_length_c 5.7563
_cell_angle_alpha 115.42
_cell_angle_beta 90.73
_cell_angle_gamma 119.90
loop_
_symmetry_equiv_pos_as_xyz
'x,y,z'
loop_
_atom_site_label
_atom_site_type_symbol
_atom_site_fract_x
_atom_site_fract_y
_atom_site_fract_z
Na1 Na 0.0000 0.0000 0.0000
Fe1 Fe 0.2776 0.5504 0.8350
Fe2 Fe 0.7964 0.5893 0.3922
Te1 Te 0.4792 0.9530 0.4307
O1 O 0.0787 0.7377 0.1857
O2 O 0.2105 0.7713 0.6339
O3 O 0.4510 0.5314 0.1785
O4 O 0.5715 0.4203 0.6299
O5 O 0.6686 0.1184 0.1902
O6 O 0.8562 0.0494 0.6281
```